PBE Pr2SeF4, optimized geometry; uncorrected formation energy = -3584 meV/atom; ρ = 6.264 g/cm3; space group = R-3m (166); V = 16.54 Å³/atom; energy above the lowest structure with this stoichiometry = 0 meV per atom
1.0
2.0790 1.2003 7.7330
-2.0790 1.2003 7.7330
0.0000 -2.4006 7.7330
Pr Se F
2 1 4
Cartesian
0.0000 0.0000 5.6390
0.0000 0.0000 17.5599
0.0000 0.0000 0.0000
0.0000 0.0000 3.2266
0.0000 0.0000 9.9739
0.0000 0.0000 13.2250
0.0000 0.0000 19.9724